Compound: YH18Br3O18
Source: Alexandria via LeMat-Bulk
Functional: PBEsol
Structure: relaxed

Computed properties:
V in Å³ per atom: 9.5
Final energy in eV per cell: -405.32

POSCAR file:
```
YH18Br3O18
1.0
6.4549 0.0000 0.0000
0.0000 11.6529 0.0000
0.0000 -5.8264 10.0917
O Br H Y
36 6 36 2
Direct
0.7482 0.0664 0.7031 O
0.4623 0.9082 0.0918 O
0.7482 0.6367 0.7031 O
0.2482 0.3633 0.0664 O
0.9623 0.8165 0.9082 O
0.5092 0.5798 0.4202 O
0.7719 0.4237 0.2118 O
0.2482 0.9336 0.2969 O
0.4943 0.4209 0.8418 O
0.2482 0.9336 0.6367 O
0.2482 0.7031 0.6367 O
0.5092 0.8405 0.4202 O
0.7482 0.2969 0.3633 O
0.7482 0.6367 0.9336 O
0.9943 0.5791 0.1582 O
0.2482 0.3633 0.2969 O
0.2719 0.2118 0.7882 O
0.5092 0.5798 0.1595 O
0.7482 0.2969 0.9336 O
0.2482 0.7031 0.0664 O
0.0092 0.1595 0.5798 O
0.4943 0.4209 0.5791 O
0.9623 0.0918 0.9082 O
0.4623 0.1835 0.0918 O
0.9943 0.5791 0.4209 O
0.9943 0.8418 0.4209 O
0.7719 0.7882 0.2118 O
0.4943 0.1582 0.5791 O
0.2719 0.2118 0.4237 O
0.0092 0.4202 0.5798 O
0.4623 0.9082 0.8165 O
0.9623 0.0918 0.1835 O
0.2719 0.5763 0.7882 O
0.7719 0.7882 0.5763 O
0.0092 0.4202 0.8405 O
0.7482 0.0664 0.3633 O
0.7362 0.1301 0.2601 Br
0.2362 0.8699 0.7399 Br
0.2362 0.2601 0.1301 Br
0.7362 0.7399 0.8699 Br
0.7362 0.1301 0.8699 Br
0.2362 0.8699 0.1301 Br
0.0704 0.4945 0.3682 H
0.2410 0.6285 0.7443 H
0.7410 0.8842 0.2557 H
0.9294 0.3673 0.4966 H
0.9294 0.1293 0.4966 H
0.4294 0.4966 0.3673 H
0.4294 0.8707 0.3673 H
0.5704 0.5055 0.6318 H
0.0704 0.8737 0.5055 H
0.7410 0.8842 0.6285 H
0.7410 0.3715 0.2557 H
0.9294 0.5034 0.6327 H
0.5704 0.1263 0.6318 H
0.0704 0.6318 0.5055 H
0.2410 0.2557 0.3715 H
0.5704 0.3682 0.4945 H
0.0704 0.8737 0.3682 H
0.4294 0.6327 0.5034 H
0.2410 0.2557 0.8842 H
0.7410 0.3715 0.1158 H
0.5704 0.1263 0.4945 H
0.4294 0.8707 0.5034 H
0.2410 0.6285 0.8842 H
0.2410 0.1158 0.3715 H
0.4294 0.6327 0.1293 H
0.4294 0.4966 0.1293 H
0.9294 0.5034 0.8707 H
0.2410 0.1158 0.7443 H
0.5704 0.5055 0.8737 H
0.9294 0.3673 0.8707 H
0.7410 0.7443 0.6285 H
0.7410 0.7443 0.1158 H
0.5704 0.3682 0.8737 H
0.0704 0.4945 0.1263 H
0.9294 0.1293 0.6327 H
0.0704 0.6318 0.1263 H
0.7564 0.6667 0.3333 Y
0.2564 0.3333 0.6667 Y
```

Compound: H2OsBr
Source: Alexandria via LeMat-Bulk
Functional: PBEsol
Structure: relaxed

Computed properties:
V in Å³ per atom: 9.9
Final energy in eV per cell: -14.64

POSCAR file:
```
H2OsBr
1.0
3.8280 0.0000 0.0000
1.9140 3.3151 0.0000
1.9140 1.1050 3.1255
Br H Os
1 2 1
Direct
0.0000 0.0000 0.0000 Br
0.7500 0.7500 0.7500 H
0.2500 0.2500 0.2500 H
0.5000 0.5000 0.5000 Os
```